Record 1
! AcGdLuTl | the Alexandria database | PBE | optimized geometry; values from VASP
! energy of formation from the pure elements = 0.05 eV per atom
! calculated total energy = -6.217 eV/atom
! SG = F-43m
! volume = 31.38 Å³/atom
! total magnetization = 8.7 μB per formula unit
&SYSTEM
  ibrav = 0, nat = 4, ntyp = 4
/
ATOMIC_SPECIES
Gd 157.25 Gd.upf
Tl 204.38 Tl.upf
Ac 227.00 Ac.upf
Lu 174.97 Lu.upf
CELL_PARAMETERS angstrom
5.620 0.000 0.000
2.810 4.867 0.000
2.810 1.622 4.589
ATOMIC_POSITIONS angstrom
Gd 8.430 4.867 3.442
Tl 0.000 0.000 0.000
Ac 5.620 3.245 2.294
Lu 2.810 1.622 1.147

***

Record 2
! AcGdTmLu | the Alexandria database | PBE | optimized geometry; values from VASP
! energy of formation from the pure elements = 0.10 eV per atom
! calculated total energy = -6.699 eV/atom
! SG = F-43m
! volume = 34.17 Å³/atom
! total magnetization = 7.5 μB per formula unit
&SYSTEM
  ibrav = 0, nat = 4, ntyp = 4
/
ATOMIC_SPECIES
Ac 227.00 Ac.upf
Lu 174.97 Lu.upf
Tm 168.93 Tm.upf
Gd 157.25 Gd.upf
CELL_PARAMETERS angstrom
-4.592 1.361 3.238
-3.333 -4.184 2.194
0.055 -1.059 5.684
ATOMIC_POSITIONS angstrom
Ac -1.968 -0.970 2.779
Lu -3.935 -1.941 5.558
Tm 0.000 0.000 0.000
Gd -5.903 -2.911 8.337